Entry 1:
# CdHgTe2 (PBE-GGA, relaxed)
data_CdHgTe2
_chemical_formula_sum 'Cd1 Hg1 Te2'
_cell_length_a 4.6788
_cell_length_b 4.6788
_cell_length_c 7.4661
_cell_angle_alpha 90.00
_cell_angle_beta 90.00
_cell_angle_gamma 120.00
_symmetry_space_group_name_H-M 'P 3 m 1'
_symmetry_Int_Tables_number 156
loop_
_symmetry_equiv_pos_as_xyz
'x,y,z'
'-y,x-y,z'
'-x+y,-x,z'
'-y,-x,z'
'-x+y,y,z'
'x,x-y,z'
loop_
_atom_site_label
_atom_site_type_symbol
_atom_site_fract_x
_atom_site_fract_y
_atom_site_fract_z
_atom_site_occupancy
Cd1 Cd 0.0000 0.0000 0.0000 1
Hg1 Hg 0.6667 0.3333 0.5001 1
Te1 Te 0.0000 0.0000 0.3965 1
Te2 Te 0.3333 0.6667 0.8748 1
# Energy above the lowest structure with this stoichiometry   116 meV/atom
# Formation energy (no corrections)   -196 meV per atom



Entry 2:
# SrCa8Ac3 (PBE-GGA, relaxed)
data_SrCa8Ac3
_chemical_formula_sum 'Sr1 Ca8 Ac3'
_cell_length_a 6.8018
_cell_length_b 6.8018
_cell_length_c 13.0304
_cell_angle_alpha 90.00
_cell_angle_beta 90.00
_cell_angle_gamma 120.00
_symmetry_space_group_name_H-M 'P -3 1 m'
_symmetry_Int_Tables_number 162
_symmetry_space_group_name_Hall '-P 3 2'
loop_
_atom_site_label
_atom_site_type_symbol
_atom_site_fract_x
_atom_site_fract_y
_atom_site_fract_z
_atom_site_occupancy
Sr1 Sr 0.0000 0.0000 0.0000 1
Ca1 Ca 0.0000 0.3369 0.7494 1
Ca2 Ca 0.3333 0.6667 0.0000 1
Ac1 Ac 0.0000 0.0000 0.5000 1
Ac2 Ac 0.3333 0.6667 0.5000 1
# Energy of formation   0.4 eV/f.u.



Entry 3:
# Zn2InTc (PBE-GGA, relaxed)
data_Zn2InTc
_chemical_formula_sum 'Zn4 In2 Tc2'
_cell_length_a 10.512
_cell_length_b 2.795
_cell_length_c 4.745
_cell_angle_alpha 90.00
_cell_angle_beta 100.46
_cell_angle_gamma 90.00
_symmetry_space_group_name_H-M 'C 1 m 1'
_symmetry_Int_Tables_number 8
loop_
_symmetry_equiv_pos_as_xyz
'x,y,z'
'x,-y,z'
'x+1/2,y+1/2,z'
'x+1/2,-y+1/2,z'
loop_
_atom_site_label
_atom_site_type_symbol
_atom_site_fract_x
_atom_site_fract_y
_atom_site_fract_z
_atom_site_occupancy
Zn1 Zn 0.000 0.000 0.000 1
Zn2 Zn 0.224 0.000 0.829 1
In1 In 0.428 0.000 0.475 1
Tc1 Tc 0.186 0.500 0.317 1
# Energy of formation   0.8 eV/f.u.



Entry 4:
# CrTc2Ru (PBE-GGA, relaxed)
data_CrTc2Ru
_chemical_formula_sum 'Cr3 Tc6 Ru3'
_cell_length_a 2.6953
_cell_length_b 2.6953
_cell_length_c 26.3934
_cell_angle_alpha 90.00
_cell_angle_beta 90.00
_cell_angle_gamma 120.00
_symmetry_space_group_name_H-M 'R -3 m'
_symmetry_Int_Tables_number 166
_symmetry_space_group_name_Hall '-R 3 2"'
loop_
_atom_site_label
_atom_site_type_symbol
_atom_site_fract_x
_atom_site_fract_y
_atom_site_fract_z
_atom_site_occupancy
Cr1 Cr 0.0000 0.0000 0.0000 1
Tc1 Tc 0.0000 0.0000 0.2528 1
Ru1 Ru 0.0000 0.0000 0.5000 1
# Energy above the lowest structure with this stoichiometry   59 meV/atom
# Energy of formation   0.7 eV/f.u.



Entry 5:
# ZnCdIn2 (PBE-GGA, relaxed)
data_ZnCdIn2
_chemical_formula_sum 'Zn2 Cd2 In4'
_cell_length_a 4.479
_cell_length_b 4.479
_cell_length_c 9.217
_cell_angle_alpha 90.00
_cell_angle_beta 90.00
_cell_angle_gamma 90.00
_symmetry_space_group_name_H-M 'I -4 m 2'
_symmetry_Int_Tables_number 119
_symmetry_space_group_name_Hall 'I -4 -2'
loop_
_atom_site_label
_atom_site_type_symbol
_atom_site_fract_x
_atom_site_fract_y
_atom_site_fract_z
_atom_site_occupancy
Zn1 Zn 0.000 0.000 0.000 1
Cd1 Cd 0.000 0.500 0.750 1
In1 In 0.000 0.000 0.500 1
In2 In 0.000 0.500 0.250 1
# Energy above the lowest structure with this stoichiometry   34 meV/atom
# Energy of formation   0.4 eV/f.u.



Entry 6:
# RuSe (PBE-GGA, relaxed)
data_RuSe
_chemical_formula_sum 'Ru16 Se16'
_cell_length_a 7.581
_cell_length_b 8.411
_cell_length_c 11.501
_cell_angle_alpha 90.00
_cell_angle_beta 90.00
_cell_angle_gamma 90.00
_symmetry_space_group_name_H-M 'F d d d'
_symmetry_Int_Tables_number 70
loop_
_symmetry_equiv_pos_as_xyz
'x,y,z'
'-x,-y,-z'
'-x+1/4,-y+1/4,z'
'x+1/4,y+1/4,-z'
'x,-y+1/4,-z+1/4'
'-x,y+1/4,z+1/4'
'-x+1/4,y,-z+1/4'
'x+1/4,-y,z+1/4'
'x,y+1/2,z+1/2'
'-x,-y+1/2,-z+1/2'
'-x+1/4,-y+3/4,z+1/2'
'x+1/4,y+3/4,-z+1/2'
'x,-y+3/4,-z+3/4'
'-x,y+3/4,z+3/4'
'-x+1/4,y+1/2,-z+3/4'
'x+1/4,-y+1/2,z+3/4'
'x+1/2,y,z+1/2'
'-x+1/2,-y,-z+1/2'
'-x+3/4,-y+1/4,z+1/2'
'x+3/4,y+1/4,-z+1/2'
'x+1/2,-y+1/4,-z+3/4'
'-x+1/2,y+1/4,z+3/4'
'-x+3/4,y,-z+3/4'
'x+3/4,-y,z+3/4'
'x+1/2,y+1/2,z'
'-x+1/2,-y+1/2,-z'
'-x+3/4,-y+3/4,z'
'x+3/4,y+3/4,-z'
'x+1/2,-y+3/4,-z+1/4'
'-x+1/2,y+3/4,z+1/4'
'-x+3/4,y+1/2,-z+1/4'
'x+3/4,-y+1/2,z+1/4'
loop_
_atom_site_label
_atom_site_type_symbol
_atom_site_fract_x
_atom_site_fract_y
_atom_site_fract_z
_atom_site_occupancy
Ru1 Ru 0.125 0.125 0.005 1
Se1 Se 0.125 0.361 0.125 1
# Formation energy (no corrections)   -17 meV per atom



Entry 7:
# Na3Pb2Cl7 (PBE-GGA, relaxed)
data_Na3Pb2Cl7
_chemical_formula_sum 'Na12 Pb8 Cl28'
_cell_length_a 25.401
_cell_length_b 7.326
_cell_length_c 7.533
_cell_angle_alpha 90.00
_cell_angle_beta 90.00
_cell_angle_gamma 90.00
_symmetry_space_group_name_H-M 'C m c 21'
_symmetry_Int_Tables_number 36
loop_
_symmetry_equiv_pos_as_xyz
'x,y,z'
'-x,-y,z+1/2'
'-x,y,z'
'x,-y,z+1/2'
'x+1/2,y+1/2,z'
'-x+1/2,-y+1/2,z+1/2'
'-x+1/2,y+1/2,z'
'x+1/2,-y+1/2,z+1/2'
loop_
_atom_site_label
_atom_site_type_symbol
_atom_site_fract_x
_atom_site_fract_y
_atom_site_fract_z
_atom_site_occupancy
Na1 Na 0.000 0.218 0.000 1
Na2 Na 0.198 0.251 0.100 1
Pb1 Pb 0.109 0.253 0.520 1
Cl1 Cl 0.000 0.124 0.648 1
Cl2 Cl 0.084 0.386 0.160 1
Cl3 Cl 0.151 0.052 0.815 1
Cl4 Cl 0.209 0.397 0.454 1
# Formation energy (no corrections)   -1465 meV per atom



Entry 8:
# CsGaSbRh2 (PBE-GGA, relaxed)
data_CsGaSbRh2
_chemical_formula_sum 'Cs1 Ga1 Sb1 Rh2'
_cell_length_a 4.931
_cell_length_b 4.931
_cell_length_c 5.304
_cell_angle_alpha 90.00
_cell_angle_beta 90.00
_cell_angle_gamma 90.00
_symmetry_space_group_name_H-M 'P 4/m m m'
_symmetry_Int_Tables_number 123
_symmetry_space_group_name_Hall '-P 4 2'
loop_
_atom_site_label
_atom_site_type_symbol
_atom_site_fract_x
_atom_site_fract_y
_atom_site_fract_z
_atom_site_occupancy
Cs1 Cs 0.000 0.000 0.000 1
Ga1 Ga 0.500 0.500 0.500 1
Sb1 Sb 0.500 0.500 0.000 1
Rh1 Rh 0.000 0.500 0.500 1
# Formation energy (no corrections)   599 meV per atom



Entry 9:
# Li7CdAg2 (PBE-GGA, relaxed)
data_Li7CdAg2
_chemical_formula_sum 'Li14 Cd2 Ag4'
_cell_length_a 5.241
_cell_length_b 24.103
_cell_length_c 2.818
_cell_angle_alpha 90.00
_cell_angle_beta 90.00
_cell_angle_gamma 90.00
_symmetry_space_group_name_H-M 'C m m m'
_symmetry_Int_Tables_number 65
_symmetry_space_group_name_Hall '-C 2 2'
loop_
_atom_site_label
_atom_site_type_symbol
_atom_site_fract_x
_atom_site_fract_y
_atom_site_fract_z
_atom_site_occupancy
Li1 Li 0.000 0.000 0.000 1
Li2 Li 0.000 0.294 0.500 1
Li3 Li 0.245 0.400 0.000 1
Cd1 Cd 0.000 0.500 0.500 1
Ag1 Ag 0.000 0.196 0.000 1
# Energy above the lowest structure with this stoichiometry   10 meV/atom
# Energy of formation   -1.0 eV/f.u.



Entry 10:
# HfTaAg2Au (PBE-GGA, relaxed)
data_HfTaAg2Au
_chemical_formula_sum 'Hf1 Ta1 Ag2 Au1'
_cell_length_a 4.970
_cell_length_b 4.970
_cell_length_c 4.975
_cell_angle_alpha 90.00
_cell_angle_beta 90.00
_cell_angle_gamma 90.00
_symmetry_space_group_name_H-M 'P 4/m m m'
_symmetry_Int_Tables_number 123
_symmetry_space_group_name_Hall '-P 4 2'
loop_
_atom_site_label
_atom_site_type_symbol
_atom_site_fract_x
_atom_site_fract_y
_atom_site_fract_z
_atom_site_occupancy
Hf1 Hf 0.000 0.000 0.000 1
Ta1 Ta 0.500 0.500 0.500 1
Ag1 Ag 0.000 0.500 0.000 1
Au1 Au 0.000 0.000 0.500 1
# Energy of formation   8.3 eV/f.u.



Entry 11:
# SrBi3Rh2 (PBE-GGA, relaxed)
data_SrBi3Rh2
_chemical_formula_sum 'Sr1 Bi3 Rh2'
_cell_length_a 6.6503
_cell_length_b 6.6503
_cell_length_c 4.1906
_cell_angle_alpha 90.00
_cell_angle_beta 90.00
_cell_angle_gamma 120.00
_symmetry_space_group_name_H-M 'P 6/m m m'
_symmetry_Int_Tables_number 191
_symmetry_space_group_name_Hall '-P 6 2'
loop_
_atom_site_label
_atom_site_type_symbol
_atom_site_fract_x
_atom_site_fract_y
_atom_site_fract_z
_atom_site_occupancy
Sr1 Sr 0.0000 0.0000 0.0000 1
Bi1 Bi 0.0000 0.5000 0.5000 1
Rh1 Rh 0.3333 0.6667 0.0000 1
# Energy above the lowest structure with this stoichiometry   90 meV/atom
# Energy of formation   -1.0 eV/f.u.



Entry 12:
# K3Tl3SnO8 (PBE-GGA, relaxed)
data_K3Tl3SnO8
_chemical_formula_sum 'K9 Tl9 Sn3 O24'
_cell_length_a 6.8299
_cell_length_b 6.8299
_cell_length_c 19.0016
_cell_angle_alpha 90.00
_cell_angle_beta 90.00
_cell_angle_gamma 120.00
_symmetry_space_group_name_H-M 'R -3 m'
_symmetry_Int_Tables_number 166
_symmetry_space_group_name_Hall '-R 3 2"'
loop_
_atom_site_label
_atom_site_type_symbol
_atom_site_fract_x
_atom_site_fract_y
_atom_site_fract_z
_atom_site_occupancy
K1 K 0.0000 0.5000 0.0000 1
Tl1 Tl 0.0000 0.5000 0.5000 1
Sn1 Sn 0.0000 0.0000 0.5000 1
O1 O 0.0000 0.0000 0.2300 1
O2 O 0.0286 0.5143 0.2274 1
# Formation energy (no corrections)   -1185 meV per atom



The evaluated theoretical density for the records listed, in turn: 6.7 3.5 8.3 10.5 7.3 6.5 3.5 6.8 3.5 10.4 9.5 6.3 g/cm³.